A.
VASP calculation (SCAN) on a crystal of TcOs2W relaxed with PBEsol.

abc: 6.1644 6.1644 6.1644
angles: 90.00 90.00 90.00
Space group Fm-3m (No. 225)
Unique sites:
Tc (0.0000, 0.0000, 0.0000) x4
Os (0.2500, 0.2500, 0.2500) x8
W (0.0000, 0.0000, 0.5000) x4

* ρ: 18.78 g cm⁻³

***

B.
VASP calculation (SCAN) on a crystal of TcOs2W relaxed with PBEsol.

abc: 2.7385 3.8359 5.5100
angles: 90.00 90.00 90.00
Space group Pmm2 (No. 25)
Unique sites:
Tc (0.0000, 0.0000, 0.0000) x1
Os (0.0000, 0.0000, 0.5182) x1
Os (0.5000, 0.5000, 0.7692) x1
W (0.5000, 0.5000, 0.2658) x1

* ρ: 19.00 g cm⁻³

***

Tell me which of them is the most stable. Sure, it is B.

***

A.
VASP calculation (SCAN) on a crystal of MnMoIr2 relaxed with PBEsol.

abc: 2.6966 4.2628 4.6829
angles: 90.00 90.00 90.00
Space group Pmm2 (No. 25)
Unique sites:
Mn (0.0000, 0.0000, 0.0000) x1
Mo (0.0000, 0.5000, 0.6703) x1
Ir (0.5000, 0.0000, 0.4954) x1
Ir (0.5000, 0.5000, 0.1485) x1

* ρ: 16.51 g cm⁻³

***

B.
VASP calculation (SCAN) on a crystal of MnMoIr2 relaxed with PBEsol.

abc: 2.6955 3.7602 5.3821
angles: 90.00 90.00 90.00
Space group Pmmm (No. 47)
Unique sites:
Mn (0.0000, 0.0000, 0.0000) x1
Mo (0.0000, 0.0000, 0.5000) x1
Ir (0.5000, 0.5000, 0.2412) x2

* ρ: 16.30 g cm⁻³

***

Tell me which of them is the most stable. Sure, it is B.